PmSnSb3, relaxed, DFT GGA-PBE; N(E_F) = 8.59 states/eV per cell; formation energy from raw total energies = -0.42 eV per atom; size of the total moment = 0.00 μB per formula unit
1.0
14.453 0.000 0.000
0.000 6.188 0.000
0.000 0.000 6.441
Pm Sn Sb
4 4 12
Direct
0.170 0.001 0.250
0.170 0.499 0.750
0.830 0.501 0.250
0.830 0.999 0.750
0.388 0.250 0.000
0.388 0.250 0.500
0.612 0.750 0.000
0.612 0.750 0.500
0.001 0.250 0.000
0.001 0.250 0.500
0.226 0.506 0.250
0.226 0.994 0.750
0.399 0.715 0.750
0.399 0.785 0.250
0.601 0.215 0.750
0.601 0.285 0.250
0.774 0.006 0.250
0.774 0.494 0.750
0.999 0.750 0.000
0.999 0.750 0.500